[1]
Here is a relaxed MnV2CuRe crystal from Alexandria. Energies are from PBE-GGA.

Computed properties:
electronic total energy = -7.632 eV per atom

abc: 4.1321 4.1321 4.3547
angles: 90.00 90.00 90.00
With the nearest neighbours (Å) after each atom.
Space group P4/mmm (No. 123)
Symmetry-distinct sites (fractional):
Mn1 0.0000 0.0000 0.0000  4 V 2.07, 2 Cu 2.18
V1 0.0000 0.5000 0.0000  2 Mn 2.07
Cu1 0.0000 0.0000 0.5000  2 Mn 2.18
Re1 0.5000 0.5000 0.5000  4 Cu 2.92, 8 V 3.00

=====

[2]
Here is a relaxed BeMo2Cl crystal from Alexandria. Energies are from PBE-GGA.

Computed properties:
E_form (uncorrected) = 47.1 kJ/mol of atoms
distance to the lowest polymorph of the same formula = 1.07 eV/f.u.
electronic total energy = -6.321 eV per atom

abc: 2.8565 2.8565 24.2228
angles: 90.00 90.00 120.00
With the nearest neighbours (Å) after each atom.
Space group R-3m (No. 166, hexagonal axes)
Symmetry-distinct sites (fractional):
Be1 0.0000 0.0000 0.0000  6 Mo 2.56, 6 Be 2.86
Mo1 0.0000 0.0000 0.2523  3 Be 2.56, 3 Cl 2.65, 6 Mo 2.86
Cl1 0.0000 0.0000 0.5000  6 Mo 2.65, 6 Cl 2.86

=====

[3]
Here is a relaxed MgPtPb crystal from Alexandria. Energies are from PBE-GGA.

Computed properties:
electronic total energy = -4.084 eV per atom

abc: 3.6835 3.6986 8.9310
angles: 90.00 90.00 90.00
With the nearest neighbours (Å) after each atom.
Space group Imm2 (No. 44)
Symmetry-distinct sites (fractional):
Mg1 0.0000 0.0000 0.0000  5 Pb 2.80-3.10, 4 Pt 2.91
Pt1 0.0000 0.0000 0.3548  5 Mg 2.91-3.17, 5 Pb 2.96-3.01
Pb1 0.0000 0.0000 0.6867  5 Mg 2.80-3.10, 5 Pt 2.96-3.01

=====

[4]
Here is a relaxed Co2W3N crystal from Alexandria. Energies are from PBE-GGA.

Computed properties:
E_form (uncorrected) = -10.8 kJ/mol of atoms
electronic total energy = -10.345 eV per atom

abc: 6.6791 6.6791 6.6791
angles: 90.00 90.00 90.00
With the nearest neighbours (Å) after each atom.
Space group P4_132 (No. 213)
Symmetry-distinct sites (fractional):
Co1 0.0672 0.0672 0.0672  3 Co 2.48, 6 W 2.74-2.77
W1 0.0494 0.8750 0.7006  2 N 2.10
N1 0.1250 0.6250 0.8750  6 W 2.10

=====

[5]
Here is a relaxed TbSc2Zn crystal from Alexandria. Energies are from PBE-GGA.

Computed properties:
distance to the lowest polymorph of the same formula = 0.47 eV/f.u.
electronic total energy = -4.688 eV per atom

abc: 3.3617 3.3617 29.5717
angles: 90.00 90.00 120.00
With the nearest neighbours (Å) after each atom.
Space group R-3m (No. 166, hexagonal axes)
Symmetry-distinct sites (fractional):
Tb1 0.0000 0.0000 0.0000  6 Tb 3.36, 6 Sc 3.40
Sc1 0.0000 0.0000 0.2387  3 Zn 2.88
Zn1 0.0000 0.0000 0.5000  6 Sc 2.88

=====

[6]
Here is a relaxed Cs2Tl7In crystal from Alexandria. Energies are from PBE-GGA.

Computed properties:
electronic total energy = -2.169 eV per atom

abc: 5.3571 5.3571 13.1401
angles: 90.00 90.00 90.00
With the nearest neighbours (Å) after each atom.
Space group P-4m2 (No. 115)
Symmetry-distinct sites (fractional):
Cs1 0.0000 0.5000 0.2480  14 Tl 4.09-4.26, 2 In 4.22
Tl1 0.0000 0.0000 0.0000  4 Tl 3.17
Tl2 0.0000 0.0000 0.5000  4 Tl 3.20
Tl3 0.0000 0.5000 0.6337  5 Tl 3.11-3.20
Tl4 0.0000 0.5000 0.8705  3 Tl 3.11-3.17, 2 In 3.17
Tl5 0.5000 0.5000 0.5000  4 Tl 3.20
In1 0.5000 0.5000 0.0000  4 Tl 3.17

=====

[7]
Here is a relaxed Ce3PrSm2As6 crystal from Alexandria. Energies are from PBE-GGA.

Computed properties:
electronic total energy = -6.470 eV per atom

abc: 7.3282 12.6922 7.3264
angles: 90.00 109.49 90.00
With the nearest neighbours (Å) after each atom.
Space group C2/m (No. 12)
Symmetry-distinct sites (fractional):
Ce1 0.0000 0.0000 0.0000  6 As 2.96-2.98
Ce2 0.0000 0.3340 0.0000  6 As 2.96-2.98
Pr1 0.0000 0.5000 0.5000  6 As 3.03
Sm1 0.0000 0.1669 0.5000  6 As 3.00
As1 0.2469 0.1682 0.2454  3 Ce 2.96-2.98, 2 Sm 3.00, 1 Pr 3.03
As2 0.2481 0.0000 0.7539  3 Ce 2.96-2.98, 2 Sm 3.00, 1 Pr 3.03

=====

[8]
Here is a relaxed BaFeOs crystal from Alexandria. Energies are from PBE-GGA.

Computed properties:
distance to the lowest polymorph of the same formula = 5.79 eV/f.u.
electronic total energy = -4.930 eV per atom

abc: 6.7057 6.7057 6.7057
angles: 90.00 90.00 90.00
With the nearest neighbours (Å) after each atom.
Space group F-43m (No. 216)
Symmetry-distinct sites (fractional):
Ba1 0.0000 0.0000 0.0000  4 Fe 2.90, 4 Os 2.90
Fe1 0.2500 0.2500 0.7500  4 Ba 2.90
Os1 0.2500 0.2500 0.2500  4 Ba 2.90

=====

[9]
Here is a relaxed In2TcIr crystal from Alexandria. Energies are from PBE-GGA.

Computed properties:
distance to the lowest polymorph of the same formula = 0.94 eV/f.u.
electronic total energy = -5.913 eV per atom

abc: 8.9753 2.9585 5.3918
angles: 90.00 100.13 90.00
With the nearest neighbours (Å) after each atom.
Space group C2/m (No. 12)
Symmetry-distinct sites (fractional):
In1 0.2487 0.0000 0.2477  3 Tc 2.81-2.84, 3 Ir 2.81-2.82, 6 In 2.96-3.09
Tc1 0.0000 0.0000 0.5000  6 In 2.81-2.84, 2 Tc 2.96, 4 Ir 3.08
Ir1 0.0000 0.5000 0.0000  6 In 2.81-2.82, 2 Ir 2.96, 4 Tc 3.08

=====

[10]
Here is a relaxed DyTlAg2 crystal from Alexandria. Energies are from PBE-GGA.

Computed properties:
electronic total energy = -3.322 eV per atom

abc: 3.7863 3.7863 6.5572
angles: 90.00 90.00 90.00
With the nearest neighbours (Å) after each atom.
Space group P4/mmm (No. 123)
Symmetry-distinct sites (fractional):
Dy1 0.0000 0.0000 0.0000  8 Ag 3.09, 2 Tl 3.28
Tl1 0.0000 0.0000 0.5000  8 Ag 3.19, 2 Dy 3.28
Ag1 0.5000 0.5000 0.2342  1 Ag 3.07, 4 Dy 3.09, 4 Tl 3.19

=====

[11]
Here is a relaxed CaReIr2 crystal from Alexandria. Energies are from PBE-GGA.

Computed properties:
distance to the lowest polymorph of the same formula = 1.39 eV/f.u.
electronic total energy = -7.662 eV per atom

abc: 3.9506 3.9506 8.4704
angles: 90.00 90.00 90.00
With the nearest neighbours (Å) after each atom.
Space group I-4m2 (No. 119)
Symmetry-distinct sites (fractional):
Ca1 0.0000 0.0000 0.0000  8 Ir 2.79-2.90, 4 Re 2.90
Re1 0.0000 0.5000 0.2500  8 Ir 2.79-2.90, 4 Ca 2.90
Ir1 0.0000 0.0000 0.5000  4 Ca 2.79, 4 Re 2.90, 4 Ir 2.90
Ir2 0.0000 0.5000 0.7500  4 Re 2.79, 4 Ca 2.90, 4 Ir 2.90

=====

[12]
Here is a relaxed Sb3WI crystal from Alexandria. Energies are from PBE-GGA.

Computed properties:
E_form (uncorrected) = 39.9 kJ/mol of atoms
distance to the lowest polymorph of the same formula = 0.00 eV/f.u.
electronic total energy = -4.960 eV per atom

abc: 5.2884 5.2884 5.2884
angles: 90.00 90.00 90.00
With the nearest neighbours (Å) after each atom.
Space group Pm-3m (No. 221)
Symmetry-distinct sites (fractional):
Sb1 0.0000 0.0000 0.5000  2 W 2.64
W1 0.0000 0.0000 0.0000  6 Sb 2.64
I1 0.5000 0.5000 0.5000  12 Sb 3.74